Below is an optimized crystal structure of Y2Ho3ScS6, with properties calculated at the PBE level.

Calculated values
Electronic total energy (hartree per atom): -0.2487

Lattice parameters (Å, degrees): 16.8276 3.8617 7.7594 90.00 103.34 90.00
With the nearest neighbours (Å) after each atom.
Space group C2/m (No. 12)
Unique sites:
1 Y 0.1661 0.0000 0.3324 [4 per cell]  6 S 2.75
2 Ho 0.0000 0.5000 0.5000 [2 per cell]  6 S 2.72-2.79
3 Ho 0.1684 0.0000 0.8345 [4 per cell]  6 S 2.72-2.77
4 Sc 0.0000 0.5000 0.0000 [2 per cell]  6 S 2.66-2.69
5 S 0.0018 0.0000 0.7596 [4 per cell]  2 Sc 2.69, 3 Ho 2.73-2.79, 1 Y 2.75
6 S 0.1624 0.5000 0.0789 [4 per cell]  1 Sc 2.66, 3 Ho 2.72-2.77, 2 Y 2.75
7 S 0.1659 0.5000 0.5850 [4 per cell]  3 Ho 2.72-2.73, 3 Y 2.75



Below is an optimized crystal structure of YHo2ScS6, with properties calculated at the PBE level.

Calculated values
Electronic total energy (hartree per atom): -0.2455

Lattice parameters (Å, degrees): 6.7901 6.7901 18.2413 90.00 90.00 120.00
With the nearest neighbours (Å) after each atom.
Space group R3 (No. 146, hexagonal axes)
Unique sites:
1 Y 0.0000 0.0000 0.0000 [3 per cell]  6 S 2.70-2.79
2 Ho 0.0000 0.0000 0.2972 [3 per cell]  6 S 2.71-2.77
3 Ho 0.0000 0.0000 0.8001 [3 per cell]  6 S 2.69-2.77
4 Sc 0.0000 0.0000 0.4960 [3 per cell]  6 S 2.59-2.64
5 S 0.0336 0.3478 0.5659 [9 per cell]  1 Sc 2.59, 2 Ho 2.71-2.77, 1 Y 2.79
6 S 0.0396 0.6693 0.0685 [9 per cell]  1 Sc 2.64, 2 Ho 2.69-2.77, 1 Y 2.70



Below is an optimized crystal structure of Y3HoSc3S8, with properties calculated at the PBE level.

Calculated values
Electronic total energy (hartree per atom): -0.2591

Lattice parameters (Å, degrees): 7.5748 7.5748 18.8101 90.00 90.00 120.00
With the nearest neighbours (Å) after each atom.
Space group R-3m (No. 166, hexagonal axes)
Unique sites:
1 Y 0.0000 0.5000 0.0000 [9 per cell]  6 S 2.75
2 Ho 0.0000 0.0000 0.5000 [3 per cell]  6 S 2.73
3 Sc 0.0000 0.5000 0.5000 [9 per cell]  6 S 2.63
4 S 0.0000 0.0000 0.2446 [6 per cell]  3 Sc 2.63, 3 Y 2.75
5 S 0.0121 0.5061 0.7525 [18 per cell]  2 Sc 2.63, 1 Ho 2.73, 2 Y 2.75



Below is an optimized crystal structure of HoZrSc2S4, with properties calculated at the PBE level.

Calculated values
Electronic total energy (hartree per atom): -0.2591

Lattice parameters (Å, degrees): 6.4675 3.7348 6.5142 90.00 109.50 90.00
With the nearest neighbours (Å) after each atom.
Space group P2/m (No. 10)
Unique sites:
1 Ho 0.0000 0.0000 0.0000 [1 per cell]  6 S 2.70
2 Zr 0.5000 0.5000 0.0000 [1 per cell]  6 S 2.67
3 Sc 0.0000 0.5000 0.5000 [1 per cell]  6 S 2.62-2.63
4 Sc 0.5000 0.0000 0.5000 [1 per cell]  6 S 2.59-2.60
5 S 0.2505 0.0000 0.7403 [2 per cell]  3 Sc 2.60-2.62, 2 Zr 2.67, 1 Ho 2.70
6 S 0.2582 0.5000 0.2623 [2 per cell]  3 Sc 2.59-2.63, 1 Zr 2.67, 2 Ho 2.70



Below is an optimized crystal structure of HoSeS, with properties calculated at the PBE level.

Calculated values
Electronic total energy (hartree per atom): -0.2105
Energy relative to the lowest polymorph listed for this composition (kJ/mol of atoms): 0.00

Lattice parameters (Å, degrees): 3.9328 5.3077 13.2981 90.00 90.00 90.00
With the nearest neighbours (Å) after each atom.
Space group Immm (No. 71)
Unique sites:
1 Ho 0.0000 0.0000 0.1519 [4 per cell]  4 S 2.66-2.78
2 Se 0.0000 0.2492 0.5000 [4 per cell]  2 Se 2.65-2.66
3 S 0.0000 0.5000 0.2134 [4 per cell]  4 Ho 2.66-2.78



Below is an optimized crystal structure of Ho3Se2S2, with properties calculated at the PBE level.

Calculated values
Electronic total energy (hartree per atom): -0.2247

Lattice parameters (Å, degrees): 3.9421 6.7862 6.9834 80.72 89.96 73.12
With the nearest neighbours (Å) after each atom.
Space group P-1 (No. 2)
Unique sites:
1 Ho 0.0000 0.0000 0.0000 [1 per cell]  4 S 2.76, 2 Se 2.82
2 Ho 0.2435 0.5137 0.7485 [2 per cell]  3 S 2.76-2.78, 3 Se 2.82-2.85
3 Se 0.1225 0.7533 0.3725 [2 per cell]  4 Ho 2.82-2.85
4 S 0.3725 0.2550 0.1092 [2 per cell]  5 Ho 2.76-2.78



Below is an optimized crystal structure of Ho3SeS2, with properties calculated at the PBE level.

Calculated values
Electronic total energy (hartree per atom): -0.2131
Energy relative to the lowest polymorph listed for this composition (kJ/mol of atoms): 31.39

Lattice parameters (Å, degrees): 3.9703 13.3144 10.7780 90.00 90.00 90.00
With the nearest neighbours (Å) after each atom.
Space group Cmcm (No. 63)
Unique sites:
1 Ho 0.0000 0.0976 0.2500 [4 per cell]  2 S 2.59, 2 Se 2.88
2 Ho 0.0000 0.3558 0.0564 [8 per cell]  3 S 2.60-2.83
3 Se 0.0000 0.2458 0.7500 [4 per cell]  6 Ho 2.88-3.18
4 S 0.0000 0.0000 0.0000 [4 per cell]  6 Ho 2.83-2.99
5 S 0.0000 0.4721 0.2500 [4 per cell]  4 Ho 2.59-2.60



Below is an optimized crystal structure of Ho3Se2S, with properties calculated at the PBE level.

Calculated values
Electronic total energy (hartree per atom): -0.2183
Energy relative to the lowest polymorph listed for this composition (kJ/mol of atoms): 0.00

Lattice parameters (Å, degrees): 3.9942 5.6296 12.0930 90.00 90.00 90.00
With the nearest neighbours (Å) after each atom.
Space group Immm (No. 71)
Unique sites:
1 Ho 0.0000 0.0000 0.0000 [2 per cell]  2 S 2.81, 4 Se 2.88
2 Ho 0.0000 0.0000 0.3497 [4 per cell]  2 S 2.70, 4 Se 2.83-2.93
3 Se 0.0000 0.5000 0.3279 [4 per cell]  6 Ho 2.83-2.93
4 S 0.0000 0.5000 0.0000 [2 per cell]  6 Ho 2.70-2.81



Below is an optimized crystal structure of Ho2SeS, with properties calculated at the PBE level.

Calculated values
Electronic total energy (hartree per atom): -0.2228
Energy relative to the lowest polymorph listed for this composition (kJ/mol of atoms): 0.00

Lattice parameters (Å, degrees): 3.8783 3.8783 20.5576 90.00 90.00 120.00
With the nearest neighbours (Å) after each atom.
Space group R3m (No. 160, hexagonal axes)
Unique sites:
1 Ho 0.0000 0.0000 0.0000 [3 per cell]  3 S 2.73, 3 Se 2.95
2 Ho 0.0000 0.0000 0.1850 [3 per cell]  3 S 2.69, 3 Se 2.92
3 Se 0.0000 0.0000 0.7602 [3 per cell]  6 Ho 2.92-2.95
4 S 0.0000 0.0000 0.5904 [3 per cell]  6 Ho 2.69-2.73



Below is an optimized crystal structure of Ho2SeS2, with properties calculated at the PBE level.

Calculated values
Electronic total energy (hartree per atom): -0.2238
Energy relative to the lowest polymorph listed for this composition (kJ/mol of atoms): 11.01

Lattice parameters (Å, degrees): 4.0121 20.6861 6.9438 90.00 90.00 90.00
With the nearest neighbours (Å) after each atom.
Space group Cmc2_1 (No. 36)
Unique sites:
1 Ho 0.0000 0.1602 0.0000 [4 per cell]  2 S 2.60, 1 Se 2.73
2 Ho 0.0000 0.3389 0.0050 [4 per cell]  1 S 2.60, 2 Se 2.73
3 Se 0.0000 0.0917 0.3366 [4 per cell]  3 Ho 2.73
4 S 0.0000 0.2504 0.6693 [4 per cell]  6 Ho 2.96-2.97
5 S 0.0000 0.3980 0.3355 [4 per cell]  3 Ho 2.60



| no. | E_form (uncorrected) (eV per atom) |
| --- | --- |
| 1 | -1.9551 |
| 2 | -2.0088 |
| 3 | -1.9859 |
| 4 | -1.7623 |
| 5 | -1.6641 |
| 6 | -1.9787 |
| 7 | -1.5538 |
| 8 | -1.8022 |
| 9 | -1.8717 |
| 10 | -1.9098 |